[1]
# Ba5Ag2Pb | Alexandria via LeMat-Bulk | GGA-PBE | optimized geometry
data_Ba5Ag2Pb
_symmetry_space_group_name_H-M 'I 4/m c m'
_symmetry_Int_Tables_number 140
_symmetry_space_group_name_Hall '-I 4 2c'
_cell_length_a 9.152
_cell_length_b 9.152
_cell_length_c 16.257
_cell_angle_alpha 90.00
_cell_angle_beta 90.00
_cell_angle_gamma 90.00
loop_
_atom_site_label
_atom_site_fract_x
_atom_site_fract_y
_atom_site_fract_z
Ba1 0.000 0.000 0.000
Ba2 0.171 0.329 0.143
Ag1 0.116 0.384 0.500
Pb1 0.000 0.000 0.250
# Calculated formation energy in eV/atom: -0.32
# Spin magnetization in μB per atom: 0.00


[2]
# MnRe2Ni | Alexandria via LeMat-Bulk | GGA-PBE | optimized geometry
data_MnRe2Ni
_symmetry_space_group_name_H-M 'C 1 m 1'
_symmetry_Int_Tables_number 8
_symmetry_space_group_name_Hall 'C -2y'
_cell_length_a 8.752
_cell_length_b 2.661
_cell_length_c 4.610
_cell_angle_alpha 90.00
_cell_angle_beta 99.23
_cell_angle_gamma 90.00
loop_
_atom_site_label
_atom_site_fract_x
_atom_site_fract_y
_atom_site_fract_z
Mn1 0.000 0.000 0.000
Re1 0.003 0.500 0.521
Re2 0.245 0.500 0.249
Ni1 0.249 0.000 0.761
# Calculated formation energy in eV/atom: 0.06
# Relative energy among the computed polymorphs in eV/atom: 0.044
# Spin magnetization in μB per atom: 0.43


[3]
# ZrTcRh2 | Alexandria via LeMat-Bulk | GGA-PBE | optimized geometry
data_ZrTcRh2
_symmetry_space_group_name_H-M 'P 4 m m'
_symmetry_Int_Tables_number 99
_symmetry_space_group_name_Hall 'P 4 -2'
_cell_length_a 2.886
_cell_length_b 2.886
_cell_length_c 7.762
_cell_angle_alpha 90.00
_cell_angle_beta 90.00
_cell_angle_gamma 90.00
loop_
_atom_site_label
_atom_site_fract_x
_atom_site_fract_y
_atom_site_fract_z
Zr1 0.000 0.000 0.000
Tc1 0.500 0.500 0.714
Rh1 0.000 0.000 0.501
Rh2 0.500 0.500 0.251
# Calculated formation energy in eV/atom: -0.14
# Relative energy among the computed polymorphs in eV/atom: 0.263
# Spin magnetization in μB per atom: 0.00